Record 1
This record from Alexandria via LeMat-Bulk describes a relaxed structure of Mn2CrFe. The functional is PBEsol.

```
Mn2CrFe
1.0
2.393 0.000 0.006
0.000 3.905 0.000
-0.924 0.000 4.565
Mn Fe Cr
2 1 1
direct
0.019 0.000 0.006
0.720 0.500 0.243
0.250 0.500 0.748
0.511 0.000 0.502
```

## Properties
- Formation enthalpy at 0 K: 0.1149 eV/atom
- Space group: Pm (6)

***

Record 2
This record from Alexandria via LeMat-Bulk describes a relaxed structure of MnCr2Fe. The functional is PBEsol.

```
MnCr2Fe
1.0
2.407 -0.004 0.000
-0.754 2.286 0.000
0.000 0.000 7.835
Fe Mn Cr
1 1 2
direct
0.500 0.500 0.500
0.500 0.500 0.000
0.000 0.000 0.249
0.000 0.000 0.751
```

## Properties
- Energy relative to the lowest polymorph listed for this composition: 0.03 eV per formula unit
- Formation enthalpy at 0 K: 0.0789 eV/atom
- Space group: Cmmm (65)